No. 1
A relaxed SmTmTl2 crystal, computed with PBE.

Calculated values
Total magnetic moment in μB/f.u.: 0.000
Formation energy from the elements in eV/atom: -0.249
Offset from the most stable computed form in eV per atom: 0.0927

Cell lengths 9.926, 9.926, 9.926 Å; angles 21.81, 21.81, 21.81 degrees
Fractional coordinates of all 4 atoms:
Sm1 0.000 0.000 0.000
Tm1 0.500 0.500 0.500
Tl1 0.248 0.248 0.248
Tl2 0.752 0.752 0.752

No. 2
A relaxed SmTm5Tl8 crystal, computed with PBE.

Calculated values
Total magnetic moment in μB/f.u.: 0.000
Formation energy from the elements in eV/atom: -0.199

Cell lengths 7.999, 7.999, 7.999 Å; angles 110.41, 110.41, 107.61 degrees
Fractional coordinates of all 14 atoms:
Sm1 0.000 0.000 0.000
Tm1 0.077 0.221 0.592
Tm2 0.250 0.750 0.500
Tm3 0.515 0.923 0.145
Tm4 0.630 0.485 0.408
Tm5 0.779 0.370 0.855
Tl1 0.068 0.635 0.764
Tl2 0.246 0.480 0.091
Tl3 0.365 0.129 0.433
Tl4 0.389 0.155 0.909
Tl5 0.520 0.611 0.766
Tl6 0.696 0.932 0.567
Tl7 0.845 0.754 0.234
Tl8 0.871 0.304 0.236

No. 3
A relaxed Sm5Tm2Tl4 crystal, computed with PBE.

Calculated values
Total magnetic moment in μB/f.u.: 0.000
Formation energy from the elements in eV/atom: -0.252

Cell lengths 11.062, 11.062, 8.496 Å; angles 108.94, 108.94, 19.33 degrees
Fractional coordinates of all 11 atoms:
Sm1 0.000 0.000 0.000
Sm2 0.086 0.086 0.453
Sm3 0.264 0.264 0.342
Sm4 0.736 0.736 0.658
Sm5 0.914 0.914 0.547
Tm1 0.177 0.177 0.921
Tm2 0.823 0.823 0.079
Tl1 0.368 0.368 0.809
Tl2 0.450 0.450 0.268
Tl3 0.550 0.550 0.732
Tl4 0.632 0.632 0.191

No. 4
A relaxed SmTm5Tl4 crystal, computed with PBE.

Calculated values
Total magnetic moment in μB/f.u.: 0.115
Formation energy from the elements in eV/atom: -0.245

Cell lengths 3.584, 3.584, 21.583 Å; angles 90.00, 90.00, 90.00 degrees
Fractional coordinates of all 10 atoms:
Sm1 0.000 0.000 0.000
Tm1 0.500 0.500 0.116
Tm2 0.500 0.500 0.307
Tm3 0.500 0.500 0.500
Tm4 0.500 0.500 0.693
Tm5 0.500 0.500 0.884
Tl1 0.000 0.000 0.212
Tl2 0.000 0.000 0.404
Tl3 0.000 0.000 0.596
Tl4 0.000 0.000 0.788

No. 5
A relaxed Sm4Tm2Tl crystal, computed with PBE.

Calculated values
Total magnetic moment in μB/f.u.: 0.000
Formation energy from the elements in eV/atom: -0.002

Cell lengths 5.673, 6.838, 11.782 Å; angles 90.00, 102.49, 90.00 degrees
Fractional coordinates of all 14 atoms:
Sm1 0.116 0.250 0.141
Sm2 0.219 0.750 0.411
Sm3 0.331 0.512 0.706
Sm4 0.331 0.988 0.706
Sm5 0.669 0.012 0.294
Sm6 0.669 0.488 0.294
Sm7 0.781 0.250 0.589
Sm8 0.884 0.750 0.859
Tm1 0.216 0.250 0.438
Tm2 0.449 0.750 0.022
Tm3 0.551 0.250 0.978
Tm4 0.784 0.750 0.562
Tl1 0.008 0.750 0.139
Tl2 0.992 0.250 0.861

No. 6
A relaxed Sm8Tm2Tl crystal, computed with PBE.

Calculated values
Total magnetic moment in μB/f.u.: 0.000
Formation energy from the elements in eV/atom: 0.017
Offset from the most stable computed form in eV per atom: 0.0000

Cell lengths 9.161, 9.161, 8.341 Å; angles 114.03, 114.03, 34.48 degrees
Fractional coordinates of all 11 atoms:
Sm1 0.019 0.019 0.232
Sm2 0.164 0.164 0.708
Sm3 0.331 0.331 0.594
Sm4 0.391 0.391 0.067
Sm5 0.609 0.609 0.933
Sm6 0.669 0.669 0.406
Sm7 0.836 0.836 0.292
Sm8 0.981 0.981 0.768
Tm1 0.199 0.199 0.150
Tm2 0.801 0.801 0.850
Tl1 0.500 0.500 0.500

No. 7
A relaxed Sm3Tm2Tl crystal, computed with PBE.

Calculated values
Total magnetic moment in μB/f.u.: 0.000
Formation energy from the elements in eV/atom: -0.097
Offset from the most stable computed form in eV per atom: 0.0000

Cell lengths 9.472, 9.472, 3.788 Å; angles 90.00, 90.00, 146.26 degrees
Fractional coordinates of all 6 atoms:
Sm1 0.000 0.000 0.000
Sm2 0.354 0.646 0.000
Sm3 0.646 0.354 0.000
Tm1 0.188 0.812 0.500
Tm2 0.812 0.188 0.500
Tl1 0.500 0.500 0.500

No. 8
A relaxed Sm9TmTl2 crystal, computed with PBE.

Calculated values
Total magnetic moment in μB/f.u.: 0.000
Formation energy from the elements in eV/atom: -0.121

Cell lengths 4.953, 4.953, 15.200 Å; angles 90.00, 90.00, 90.00 degrees
Fractional coordinates of all 12 atoms:
Sm1 0.000 0.000 0.000
Sm2 0.000 0.000 0.336
Sm3 0.000 0.000 0.664
Sm4 0.000 0.500 0.171
Sm5 0.000 0.500 0.500
Sm6 0.000 0.500 0.829
Sm7 0.500 0.000 0.171
Sm8 0.500 0.000 0.500
Sm9 0.500 0.000 0.829
Tm1 0.500 0.500 0.000
Tl1 0.500 0.500 0.340
Tl2 0.500 0.500 0.660